First-principles (PBE) data for DyHfAu4 after structural relaxation, as listed in the Open Quantum Materials Database.

```
6
Lattice="-2.5360 0.7168 -2.5046 -1.2426 -3.4049 0.2839 -5.6151 2.5850 6.4255" Properties=species:S:1:pos:R:3 pbc="T T T"
Au -3.7187 -0.5019 0.9830
Au -4.7206 2.1731 5.4018
Au -5.6751 0.3987 3.2218
Au -0.8946 0.4118 1.0237
Hf -1.8893 -1.3441 -1.1104
Dy -2.8076 1.2925 3.2127
```

## Properties
Volume: 117.9 Å³ per cell
DFT formation energy: -712 meV per atom
Total DFT energy (no corrections): -31.897 eV per cell

***

First-principles (PBE) data for DyHgAu after structural relaxation, as listed in the Open Quantum Materials Database.

```
3
Lattice="0.0000 3.4335 3.4335 3.4335 0.0000 3.4335 3.4335 3.4335 0.0000" Properties=species:S:1:pos:R:3 pbc="T T T"
Dy 0.0000 0.0000 0.0000
Hg 5.1503 5.1503 5.1503
Au 1.7168 1.7168 1.7168
```

## Properties
Volume: 81.0 Å³ per cell
DFT formation energy: -320 meV per atom
Total DFT energy (no corrections): -9.127 eV per cell

***

First-principles (PBE) data for DyHgAu after structural relaxation, as listed in the Open Quantum Materials Database.

```
3
Lattice="-0.5115 -4.7605 0.2147 1.5237 -2.4023 3.8571 -3.1732 -1.9351 3.0259" Properties=species:S:1:pos:R:3 pbc="T T T"
Hg -1.6208 -6.8235 5.3233
Dy -0.5403 -2.2745 1.7744
Au 0.0000 0.0000 0.0000
```

## Properties
Volume: 77.8 Å³ per cell
DFT formation energy: -516 meV per atom
Total DFT energy (no corrections): -9.715 eV per cell

***

First-principles (PBE) data for DyHgAu after structural relaxation, as listed in the Open Quantum Materials Database.

```
6
Lattice="2.5367 -4.3940 0.0000 2.5367 4.3940 0.0000 0.0000 0.0000 6.1173" Properties=species:S:1:pos:R:3 pbc="T T T"
Dy 2.5367 -2.9288 4.5880
Dy 2.5367 2.9288 1.5293
Au 2.5367 -2.9298 1.5293
Au 2.5367 2.9298 4.5880
Hg 2.5367 0.0000 3.0587
Hg 2.5367 0.0000 0.0000
```

## Properties
Volume: 136.4 Å³ per cell
DFT formation energy: -665 meV per atom
Total DFT energy (no corrections): -20.322 eV per cell

***

First-principles (PBE) data for Dy2HoMg3Hg2Au after structural relaxation, as listed in the Open Quantum Materials Database.

```
9
Lattice="4.1779 0.0000 0.0000 0.0000 6.6596 3.8491 0.0000 -6.6596 3.8491" Properties=species:S:1:pos:R:3 pbc="T T T"
Au 0.0000 0.0000 0.0052
Mg 2.0890 1.6156 0.9358
Mg 2.0890 -1.6156 0.9358
Mg 2.0890 0.0000 5.8285
Dy 0.0000 -3.9654 2.2920
Dy 0.0000 3.9654 2.2920
Ho 0.0000 0.0000 3.1099
Hg 2.0890 -2.2129 3.8476
Hg 2.0890 2.2129 3.8476
```

## Properties
Volume: 214.2 Å³ per cell
Total DFT energy (no corrections): -26.770 eV per cell

***

First-principles (PBE) data for La2DyHg3PdAu2 after structural relaxation, as listed in the Open Quantum Materials Database.

```
9
Lattice="-0.0171 -3.2672 -2.2277 -3.0369 -4.1429 6.0994 -4.9140 3.5555 -5.1769" Properties=species:S:1:pos:R:3 pbc="T T T"
La -6.1107 1.9112 -2.7562
La -4.9789 -2.7305 4.0429
Dy -4.8076 -0.3552 0.5578
Hg -6.6688 -3.1273 1.1280
Hg -2.0844 -1.7869 -0.8730
Hg -7.1486 -1.1594 -1.7545
Au -3.7011 -3.1779 1.1795
Au -4.3102 -0.6799 -2.4796
Pd -7.9378 -0.5865 0.9210
```

## Properties
Volume: 218.7 Å³ per cell
DFT formation energy: -688 meV per atom
Total DFT energy (no corrections): -33.239 eV per cell

***

First-principles (PBE) data for Dy3Mg3Hg2Au after structural relaxation, as listed in the Open Quantum Materials Database.

```
9
Lattice="7.7220 0.0000 0.0000 -3.8610 6.6875 0.0000 0.0000 0.0000 4.1157" Properties=species:S:1:pos:R:3 pbc="T T T"
Dy 4.6012 0.0000 0.0000
Dy -2.3006 3.9848 0.0000
Dy 1.5604 2.7027 0.0000
Hg 0.0000 4.4583 2.0579
Hg 3.8610 2.2292 2.0579
Au 0.0000 0.0000 0.0000
Mg -0.9427 1.6328 2.0579
Mg 1.8854 0.0000 2.0579
Mg 2.9183 5.0547 2.0579
```

## Properties
Volume: 212.5 Å³ per cell
Total DFT energy (no corrections): -26.786 eV per cell

***

First-principles (PBE) data for DyMgHgAu after structural relaxation, as listed in the Open Quantum Materials Database.

```
4
Lattice="0.0000 3.5118 3.5118 3.5118 0.0000 3.5118 3.5118 3.5118 0.0000" Properties=species:S:1:pos:R:3 pbc="T T T"
Au 0.0000 0.0000 0.0000
Mg 5.2676 5.2676 5.2676
Dy 1.7559 1.7559 1.7559
Hg 3.5118 3.5118 3.5118
```

## Properties
Volume: 86.6 Å³ per cell
Total DFT energy (no corrections): -12.181 eV per cell

***

First-principles (PBE) data for NdDy2Mg3Hg2Au after structural relaxation, as listed in the Open Quantum Materials Database.

```
9
Lattice="4.2230 0.0000 0.0000 0.0000 6.7449 3.8725 0.0000 -6.7449 3.8725" Properties=species:S:1:pos:R:3 pbc="T T T"
Au 0.0000 0.0000 7.7056
Nd 0.0000 0.0000 3.1498
Hg 2.1115 2.3028 3.8864
Hg 2.1115 -2.3028 3.8864
Mg 2.1115 0.0000 5.8849
Mg 2.1115 5.1147 4.7957
Mg 2.1115 -5.1147 4.7957
Dy 0.0000 4.0234 2.3100
Dy 0.0000 -4.0234 2.3100
```

## Properties
Volume: 220.6 Å³ per cell
Total DFT energy (no corrections): -26.894 eV per cell

***

First-principles (PBE) data for Dy2TmMg3Hg2Au after structural relaxation, as listed in the Open Quantum Materials Database.

```
9
Lattice="4.1785 0.0000 0.0000 0.0000 6.6291 3.8454 0.0000 -6.6291 3.8454" Properties=species:S:1:pos:R:3 pbc="T T T"
Mg 0.0000 -1.6088 0.9370
Mg 0.0000 1.6088 0.9370
Mg 0.0000 0.0000 5.8230
Dy 2.0893 -2.6848 6.1320
Dy 2.0893 2.6848 6.1320
Tm 2.0893 0.0000 3.1031
Hg 0.0000 -2.1898 3.8413
Hg 0.0000 2.1898 3.8413
Au 2.0893 0.0000 0.0168
```

## Properties
Volume: 213.0 Å³ per cell
Total DFT energy (no corrections): -26.642 eV per cell

***

First-principles (PBE) data for DyTm2Mg3Hg2Au after structural relaxation, as listed in the Open Quantum Materials Database.

```
9
Lattice="4.1662 0.0000 0.0000 0.0000 6.6398 3.8145 0.0000 -6.6398 3.8145" Properties=species:S:1:pos:R:3 pbc="T T T"
Mg 0.0000 -5.0229 4.7404
Mg 0.0000 5.0229 4.7404
Mg 0.0000 0.0000 5.7718
Tm 2.0831 -3.9561 2.2741
Tm 2.0831 3.9561 2.2741
Hg 0.0000 2.2324 3.8182
Hg 0.0000 -2.2324 3.8182
Au 2.0831 0.0000 7.6122
Dy 2.0831 0.0000 3.0955
```

## Properties
Volume: 211.0 Å³ per cell
Total DFT energy (no corrections): -26.482 eV per cell

***

First-principles (PBE) data for Dy2YMg3Hg2Au after structural relaxation, as listed in the Open Quantum Materials Database.

```
9
Lattice="4.1828 0.0000 0.0000 0.0000 6.6779 3.8535 0.0000 -6.6779 3.8535" Properties=species:S:1:pos:R:3 pbc="T T T"
Y 2.0914 0.0000 4.5882
Hg 0.0000 -2.2332 3.8513
Hg 0.0000 2.2332 3.8513
Au 2.0914 0.0000 0.0088
Dy 2.0914 -2.6997 1.5579
Dy 2.0914 2.6997 1.5579
Mg 0.0000 -1.6193 6.7712
Mg 0.0000 1.6193 6.7712
Mg 0.0000 0.0000 1.8706
```

## Properties
Volume: 215.3 Å³ per cell
Total DFT energy (no corrections): -28.729 eV per cell